! YInP (PBE-GGA, optimized geometry); values from VASP
&SYSTEM
  ibrav = 0, nat = 6, ntyp = 3
/
ATOMIC_SPECIES
Y 88.91 Y.upf
In 114.82 In.upf
P 30.97 P.upf
ATOMIC_POSITIONS crystal
Y 0.333 0.667 0.750
Y 0.667 0.333 0.250
In 0.333 0.667 0.250
In 0.667 0.333 0.750
P 0.000 0.000 0.000
P 0.000 0.000 0.500
CELL_PARAMETERS angstrom
4.175 2.984 0.558
-4.347 1.983 -1.953
-1.849 1.528 5.669
! M_tot = 0.00 μB/f.u.
! calculated formation energy = -0.021 eV/atom
! Fermi-level density of states = 2.5 states/eV/f.u.